# AlRh, optimized geometry, DFT PBE
# Space-group type   No. 187
# Energy of formation   -0.791 eV/atom
# Calculated density   7.6 g/cm3
data_AlRh
_chemical_formula_sum 'Al1 Rh1'
_space_group_name_H-M_alt 'P 1'
_space_group_IT_number 1
_space_group_name_Hall 'P 1'
_cell_length_a 2.914
_cell_length_b 2.914
_cell_length_c 3.885
_cell_angle_alpha 90.00
_cell_angle_beta 90.00
_cell_angle_gamma 120.00
loop_
_atom_site_label
_atom_site_fract_x
_atom_site_fract_y
_atom_site_fract_z
_atom_site_occupancy
Al1 0.000 0.000 0.000 1
Rh1 0.333 0.667 0.500 1

# Ta2SiTeN, optimized geometry, DFT PBE
# Space-group type   No. 123
# VASP energy   -5.9928 eV/atom
# Calculated density   8.2 g/cm3
data_Ta2SiTeN
_chemical_formula_sum 'Ta2 Si1 Te1 N1'
_space_group_name_H-M_alt 'P 1'
_space_group_IT_number 1
_space_group_name_Hall 'P 1'
_cell_length_a 4.719
_cell_length_b 4.719
_cell_length_c 4.860
_cell_angle_alpha 90.00
_cell_angle_beta 90.00
_cell_angle_gamma 90.00
loop_
_atom_site_label
_atom_site_fract_x
_atom_site_fract_y
_atom_site_fract_z
_atom_site_occupancy
Ta1 0.000 0.500 0.000 1
Ta2 0.500 0.000 0.000 1
Si1 0.000 0.000 0.000 1
Te1 0.000 0.000 0.500 1
N1 0.500 0.500 0.500 1

# Ac6La8Mg, optimized geometry, DFT PBE
# Space-group type   No. 147
# Energy of formation   0.097 eV/atom
# Calculated density   6.9 g/cm3
data_Ac6La8Mg
_chemical_formula_sum 'Ac6 La8 Mg1'
_space_group_name_H-M_alt 'P 1'
_space_group_IT_number 1
_space_group_name_Hall 'P 1'
_cell_length_a 10.148
_cell_length_b 10.148
_cell_length_c 6.722
_cell_angle_alpha 90.00
_cell_angle_beta 90.00
_cell_angle_gamma 120.00
loop_
_atom_site_label
_atom_site_fract_x
_atom_site_fract_y
_atom_site_fract_z
_atom_site_occupancy
Ac1 0.096 0.454 0.198 1
Ac2 0.357 0.904 0.198 1
Ac3 0.454 0.357 0.802 1
Ac4 0.546 0.643 0.198 1
Ac5 0.643 0.096 0.802 1
Ac6 0.904 0.546 0.802 1
La1 0.051 0.265 0.693 1
La2 0.214 0.949 0.693 1
La3 0.265 0.214 0.307 1
La4 0.333 0.667 0.705 1
La5 0.667 0.333 0.295 1
La6 0.735 0.786 0.693 1
La7 0.786 0.051 0.307 1
La8 0.949 0.735 0.307 1
Mg1 0.000 0.000 0.000 1

# PaInGe2, optimized geometry, DFT PBE
# Space-group type   No. 225
# Energy of formation   0.001 eV/atom
# Relative energy among the computed polymorphs   360 meV/atom
# Calculated density   9.3 g/cm3
data_PaInGe2
_chemical_formula_sum 'Pa1 In1 Ge2'
_space_group_name_H-M_alt 'P 1'
_space_group_IT_number 1
_space_group_name_Hall 'P 1'
_cell_length_a 4.985
_cell_length_b 4.985
_cell_length_c 4.985
_cell_angle_alpha 60.00
_cell_angle_beta 60.00
_cell_angle_gamma 60.00
loop_
_atom_site_label
_atom_site_fract_x
_atom_site_fract_y
_atom_site_fract_z
_atom_site_occupancy
Pa1 0.000 0.000 0.000 1
In1 0.500 0.500 0.500 1
Ge1 0.250 0.250 0.250 1
Ge2 0.750 0.750 0.750 1

| no. | total magnetization (μB/atom) |
| --- | --- |
| 1 | 0.000 |
| 2 | 0.000 |
| 3 | 0.000 |
| 4 | 0.168 |